Ac2MnO6 | the Alexandria database | PBE+U | relaxed; raw total energy = -7.1778 eV/atom; volume = 14.890 Å³/atom; ρ = 7.50 g/cm3; crystal system = orthorhombic; symmetry = Immm (71)
1.0
4.3849 0.0000 -0.1916
0.0000 5.6734 0.0000
-1.9578 -2.8367 5.4725
Ac O Mn
2 6 1
Direct
0.3265 0.3265 0.6530
0.6735 0.6735 0.3470
0.1417 0.3810 0.2834
0.8583 0.0976 0.7166
0.5000 0.8780 0.0000
0.8583 0.6190 0.7166
0.5000 0.1220 0.0000
0.1417 0.9024 0.2834
0.0000 0.0000 0.0000